(1)
# Ac4AsPSe2 (PBE-GGA, relaxed)
# - Formation energy (no corrections): -1.7402 eV/atom
data_Ac4AsPSe2
_symmetry_space_group_name_H-M 'P 1 2/m 1'
_symmetry_Int_Tables_number 10
_symmetry_space_group_name_Hall '-P 2y'
_cell_length_a 7.7570
_cell_length_b 4.4779
_cell_length_c 7.7993
_cell_angle_alpha 90.00
_cell_angle_beta 109.37
_cell_angle_gamma 90.00
loop_
_atom_site_label
_atom_site_fract_x
_atom_site_fract_y
_atom_site_fract_z
Ac1 0.2409 0.0000 0.2352
Ac2 0.2497 0.5000 0.7620
As1 0.5000 0.0000 0.0000
P1 0.0000 0.5000 0.0000
Se1 0.0000 0.0000 0.5000
Se2 0.5000 0.5000 0.5000

(2)
# Ac6As3P2Se (PBE-GGA, relaxed)
# - Formation energy (no corrections): -1.5831 eV/atom
data_Ac6As3P2Se
_symmetry_space_group_name_H-M 'C 1 2/m 1'
_symmetry_Int_Tables_number 12
_symmetry_space_group_name_Hall '-C 2y'
_cell_length_a 19.6025
_cell_length_b 4.5024
_cell_length_c 9.0121
_cell_angle_alpha 90.00
_cell_angle_beta 103.14
_cell_angle_gamma 90.00
loop_
_atom_site_label
_atom_site_fract_x
_atom_site_fract_y
_atom_site_fract_z
Ac1 0.0019 0.0000 0.2578
Ac2 0.1686 0.5000 0.5799
Ac3 0.1695 0.5000 0.0896
As1 0.0000 0.5000 0.5000
As2 0.1648 0.0000 0.8338
P1 0.1659 0.0000 0.3317
Se1 0.0000 0.5000 0.0000

(3)
# AcSmAsP (PBE-GGA, relaxed)
# - Formation enthalpy at 0 K: -1.333 eV/atom
data_AcSmAsP
_symmetry_space_group_name_H-M 'R 3 m'
_symmetry_Int_Tables_number 160
_symmetry_space_group_name_Hall 'R 3 -2"'
_cell_length_a 4.2729
_cell_length_b 4.2729
_cell_length_c 22.1484
_cell_angle_alpha 90.00
_cell_angle_beta 90.00
_cell_angle_gamma 120.00
loop_
_atom_site_label
_atom_site_fract_x
_atom_site_fract_y
_atom_site_fract_z
Ac1 0.0000 0.0000 0.0000
Sm1 0.0000 0.0000 0.1747
As1 0.0000 0.0000 0.4270
P1 0.0000 0.0000 0.5846

(4)
# Ac8Te3As4P (PBE-GGA, relaxed)
# - Formation energy (no corrections): -1.5353 eV/atom
data_Ac8Te3As4P
_symmetry_space_group_name_H-M 'R -3 m'
_symmetry_Int_Tables_number 166
_symmetry_space_group_name_Hall '-R 3 2"'
_cell_length_a 9.1932
_cell_length_b 9.1932
_cell_length_c 22.6764
_cell_angle_alpha 90.00
_cell_angle_beta 90.00
_cell_angle_gamma 120.00
loop_
_atom_site_label
_atom_site_fract_x
_atom_site_fract_y
_atom_site_fract_z
Ac1 0.0000 0.0000 0.2419
Ac2 0.0135 0.5068 0.7542
Te1 0.0000 0.5000 0.0000
As1 0.0000 0.0000 0.5000
As2 0.0000 0.5000 0.5000
P1 0.0000 0.0000 0.0000

(5)
# Ac6Te3AsP2 (PBE-GGA, relaxed)
# - Formation energy (no corrections): -1.5637 eV/atom
data_Ac6Te3AsP2
_symmetry_space_group_name_H-M 'C 1 2/m 1'
_symmetry_Int_Tables_number 12
_symmetry_space_group_name_Hall '-C 2y'
_cell_length_a 7.8793
_cell_length_b 13.6397
_cell_length_c 8.1558
_cell_angle_alpha 90.00
_cell_angle_beta 108.80
_cell_angle_gamma 90.00
loop_
_atom_site_label
_atom_site_fract_x
_atom_site_fract_y
_atom_site_fract_z
Ac1 0.2346 0.0000 0.2183
Ac2 0.2423 0.3309 0.2192
Te1 0.0000 0.0000 0.5000
Te2 0.0000 0.3350 0.5000
As1 0.0000 0.5000 0.0000
P1 0.0000 0.1669 0.0000

(6)
# Ac8Te3As3P (PBE-GGA, relaxed)
# - Formation energy (no corrections): -1.4007 eV/atom
data_Ac8Te3As3P
_symmetry_space_group_name_H-M 'R -3 m'
_symmetry_Int_Tables_number 166
_symmetry_space_group_name_Hall '-R 3 2"'
_cell_length_a 9.1354
_cell_length_b 9.1354
_cell_length_c 22.9774
_cell_angle_alpha 90.00
_cell_angle_beta 90.00
_cell_angle_gamma 120.00
loop_
_atom_site_label
_atom_site_fract_x
_atom_site_fract_y
_atom_site_fract_z
Ac1 0.0000 0.0000 0.2413
Ac2 0.0022 0.5011 0.2412
Te1 0.0000 0.5000 0.0000
As1 0.0000 0.5000 0.5000
P1 0.0000 0.0000 0.5000

(7)
# Ac4TeAsP2 (PBE-GGA, relaxed)
# - Formation energy (no corrections): -1.4875 eV/atom
data_Ac4TeAsP2
_symmetry_space_group_name_H-M 'I -4 m 2'
_symmetry_Int_Tables_number 119
_symmetry_space_group_name_Hall 'I -4 -2'
_cell_length_a 6.4432
_cell_length_b 6.4432
_cell_length_c 12.8239
_cell_angle_alpha 90.00
_cell_angle_beta 90.00
_cell_angle_gamma 90.00
loop_
_atom_site_label
_atom_site_fract_x
_atom_site_fract_y
_atom_site_fract_z
Ac1 0.0000 0.0000 0.2365
Ac2 0.0000 0.5000 0.5041
Te1 0.0000 0.0000 0.5000
As1 0.0000 0.5000 0.2500
P1 0.0000 0.0000 0.0000
P2 0.0000 0.5000 0.7500

(8)
# Ac8Te4As3P (PBE-GGA, relaxed)
# - Formation energy (no corrections): -1.5604 eV/atom
data_Ac8Te4As3P
_symmetry_space_group_name_H-M 'R -3 m'
_symmetry_Int_Tables_number 166
_symmetry_space_group_name_Hall '-R 3 2"'
_cell_length_a 9.1569
_cell_length_b 9.1569
_cell_length_c 23.2063
_cell_angle_alpha 90.00
_cell_angle_beta 90.00
_cell_angle_gamma 120.00
loop_
_atom_site_label
_atom_site_fract_x
_atom_site_fract_y
_atom_site_fract_z
Ac1 0.0000 0.0000 0.2412
Ac2 0.0045 0.5022 0.2403
Te1 0.0000 0.0000 0.0000
Te2 0.0000 0.5000 0.0000
As1 0.0000 0.5000 0.5000
P1 0.0000 0.0000 0.5000

(9)
# Ac3PaAs4 (PBE-GGA, relaxed)
# - Formation enthalpy at 0 K: -1.297 eV/atom
data_Ac3PaAs4
_symmetry_space_group_name_H-M 'I 4/m m m'
_symmetry_Int_Tables_number 139
_symmetry_space_group_name_Hall '-I 4 2'
_cell_length_a 6.2590
_cell_length_b 6.2590
_cell_length_c 12.5366
_cell_angle_alpha 90.00
_cell_angle_beta 90.00
_cell_angle_gamma 90.00
loop_
_atom_site_label
_atom_site_fract_x
_atom_site_fract_y
_atom_site_fract_z
Ac1 0.0000 0.0000 0.0000
Ac2 0.0000 0.5000 0.2500
Pa1 0.0000 0.0000 0.5000
As1 0.0000 0.0000 0.2690
As2 0.0000 0.5000 0.0000

(10)
# AcPa2As4 (PBE-GGA, relaxed)
# - Formation enthalpy at 0 K: -1.008 eV/atom
data_AcPa2As4
_symmetry_space_group_name_H-M 'C m c m'
_symmetry_Int_Tables_number 63
_symmetry_space_group_name_Hall '-C 2c 2'
_cell_length_a 4.2141
_cell_length_b 13.5782
_cell_length_c 13.7047
_cell_angle_alpha 90.00
_cell_angle_beta 90.00
_cell_angle_gamma 90.00
loop_
_atom_site_label
_atom_site_fract_x
_atom_site_fract_y
_atom_site_fract_z
Ac1 0.0000 0.1102 0.2500
Pa1 0.0000 0.3692 0.0607
As1 0.0000 0.0000 0.0000
As2 0.0000 0.2632 0.6189
As3 0.0000 0.4384 0.2500

(11)
# Ac4PaAs5 (PBE-GGA, relaxed)
# - Formation enthalpy at 0 K: -1.356 eV/atom
data_Ac4PaAs5
_symmetry_space_group_name_H-M 'I 4/m'
_symmetry_Int_Tables_number 87
_symmetry_space_group_name_Hall '-I 4'
_cell_length_a 9.9384
_cell_length_b 9.9384
_cell_length_c 6.2951
_cell_angle_alpha 90.00
_cell_angle_beta 90.00
_cell_angle_gamma 90.00
loop_
_atom_site_label
_atom_site_fract_x
_atom_site_fract_y
_atom_site_fract_z
Ac1 0.0959 0.6993 0.0000
Pa1 0.0000 0.0000 0.5000
As1 0.0000 0.0000 0.0000
As2 0.0934 0.7207 0.5000

(12)
# AcPaAs3 (PBE-GGA, relaxed)
# - Formation enthalpy at 0 K: -0.673 eV/atom
data_AcPaAs3
_symmetry_space_group_name_H-M 'P m -3 m'
_symmetry_Int_Tables_number 221
_symmetry_space_group_name_Hall '-P 4 2 3'
_cell_length_a 5.4239
_cell_length_b 5.4239
_cell_length_c 5.4239
_cell_angle_alpha 90.00
_cell_angle_beta 90.00
_cell_angle_gamma 90.00
loop_
_atom_site_label
_atom_site_fract_x
_atom_site_fract_y
_atom_site_fract_z
Ac1 0.0000 0.0000 0.0000
Pa1 0.5000 0.5000 0.5000
As1 0.0000 0.5000 0.5000

Q: Number 4 is which compound?
A: Ac8Te3As4P